RbZnIn | GGA-PBE | relaxed

a = 5.5183 Å, b = 5.5183 Å, c = 5.5183 Å
α = 60.00°, β = 60.00°, γ = 60.00°
Positions (direct):
1 Rb 0.0000 0.0000 0.0000
2 Zn 0.5000 0.5000 0.5000
3 In 0.2500 0.2500 0.2500

Results
Its crystal system is cubic. As for the total energy: -1.290 eV/atom.

***

RbZrIn | GGA-PBE | relaxed

a = 5.2250 Å, b = 5.2250 Å, c = 5.2250 Å
α = 60.00°, β = 60.00°, γ = 60.00°
Positions (direct):
1 Rb 0.0000 0.0000 0.0000
2 Zr 0.7500 0.7500 0.7500
3 In 0.5000 0.5000 0.5000

Results
The size of the total moment comes out at 0.00 μB per formula unit. Its crystal system is cubic. The value obtained for the energy relative to the lowest polymorph listed for this composition is 0.0 meV per atom.

***

InRe | GGA-PBE | relaxed

a = 4.1048 Å, b = 4.1048 Å, c = 5.7275 Å
α = 90.00°, β = 90.00°, γ = 120.00°
Positions (direct):
1 In 0.0000 0.0000 0.0000
2 In 0.0000 0.0000 0.5000
3 Re 0.3333 0.6667 0.2500
4 Re 0.6667 0.3333 0.7500

Results
The size of the total moment comes out at 1.83 μB per formula unit. Its crystal system is hexagonal. The value obtained for the energy relative to the lowest polymorph listed for this composition is 944.6 meV per atom.

***

InRe2 | GGA-PBE | relaxed

a = 5.2940 Å, b = 5.2940 Å, c = 5.2940 Å
α = 60.00°, β = 60.00°, γ = 60.00°
Positions (direct):
1 In 0.1250 0.1250 0.1250
2 In 0.8750 0.8750 0.8750
3 Re 0.0000 0.5000 0.5000
4 Re 0.5000 0.0000 0.5000
5 Re 0.5000 0.5000 0.0000
6 Re 0.5000 0.5000 0.5000

Results
The size of the total moment comes out at 0.00 μB per formula unit. Its crystal system is cubic. As for the total energy: -8.630 eV/atom.

***

InRe | GGA-PBE | relaxed

a = 4.5672 Å, b = 4.5672 Å, c = 4.7677 Å
α = 90.00°, β = 90.00°, γ = 120.00°
Positions (direct):
1 In 0.3333 0.6667 0.2500
2 In 0.6667 0.3333 0.7500
3 Re 0.0000 0.0000 0.0000
4 Re 0.0000 0.0000 0.5000

Results
The size of the total moment comes out at 0.00 μB per formula unit. Its crystal system is hexagonal. The value obtained for the energy relative to the lowest polymorph listed for this composition is 244.4 meV per atom.

***

InRe | GGA-PBE | relaxed

a = 2.9742 Å, b = 2.9742 Å, c = 4.5754 Å
α = 90.00°, β = 90.00°, γ = 120.00°
Positions (direct):
1 In 0.0000 0.0000 0.0000
2 Re 0.6667 0.3333 0.5000

Results
The size of the total moment comes out at 0.02 μB per formula unit. Its crystal system is hexagonal. The value obtained for the energy relative to the lowest polymorph listed for this composition is 0.0 meV per atom.

***

InRe | GGA-PBE | relaxed

a = 4.3723 Å, b = 4.3723 Å, c = 4.3723 Å
α = 60.00°, β = 60.00°, γ = 60.00°
Positions (direct):
1 In 0.0000 0.0000 0.0000
2 Re 0.7500 0.7500 0.7500

Results
The size of the total moment comes out at 2.19 μB per formula unit. Its crystal system is cubic. The value obtained for the energy relative to the lowest polymorph listed for this composition is 1728.8 meV per atom.

***

InRe2 | GGA-PBE | relaxed

a = 8.8210 Å, b = 8.8210 Å, c = 8.8210 Å
α = 60.00°, β = 60.00°, γ = 60.00°
Positions (direct):
1 In 0.1250 0.1250 0.1250
2 In 0.8750 0.8750 0.8750
3 Re 0.0000 0.0000 0.0000
4 Re 0.0000 0.0000 0.5000
5 Re 0.0000 0.5000 0.0000
6 Re 0.5000 0.0000 0.0000

Results
The size of the total moment comes out at 8.28 μB per formula unit. Its crystal system is cubic. As for the total energy: -4.854 eV/atom.

***

These records have density values of 3.71, 4.80, 11.96, 15.42, 11.61, 14.26, 8.46, 3.33 Mg/m³, in the order they appear.